1.
Density functional theory data (PBE-GGA) for crystalline LiAgIN2 at its relaxed geometry.

Total moment: 3.7 μB/f.u.
Space group: No. 123
Crystal system: tetragonal
D(E_F): 1.11 states/eV/f.u.
Energy: -0.2491 Ry/atom
Distance to the lowest polymorph of the same formula: 0 meV/atom
E_form (uncorrected): 1.20 eV per atom

a b c (Å): 4.1216 4.1216 7.3903
angles (deg): 90.00 90.00 90.00
With the nearest neighbours (Å) after each atom.
Fractional positions:
Li (0.0000, 0.0000, 0.0000)  4 I 2.91
Ag (0.5000, 0.5000, 0.5000)  4 N 2.06
I (0.5000, 0.5000, 0.0000)  4 Li 2.91
N (0.0000, 0.5000, 0.5000)  2 Ag 2.06
N (0.5000, 0.0000, 0.5000)  2 Ag 2.06

***

2.
Density functional theory data (PBE-GGA) for crystalline Ca3PmBi2P at its relaxed geometry.

Total moment: 0.0 μB/f.u.
Space group: No. 71
Crystal system: orthorhombic
D(E_F): 0.35 states/eV/f.u.
Energy: -0.3202 Ry/atom
ΔE_f: -0.94 eV/atom

a b c (Å): 9.1102 9.1102 9.1102
angles (deg): 146.45 145.27 49.07
With the nearest neighbours (Å) after each atom.
Fractional positions:
Ca (0.0000, 0.0000, 0.0000)  2 P 2.63
Ca (0.1724, 0.6724, 0.5000)  1 P 2.86, 1 Bi 3.19
Ca (0.8276, 0.3276, 0.5000)  1 P 2.86, 1 Bi 3.19
Pm (0.5000, 0.5000, 0.0000)  2 P 2.72
Bi (0.3651, 0.8651, 0.5000)  3 Ca 3.19-3.52, 2 Pm 3.45
Bi (0.6349, 0.1349, 0.5000)  3 Ca 3.19-3.52, 2 Pm 3.45
P (0.0000, 0.5000, 0.5000)  4 Ca 2.63-2.86, 2 Pm 2.72

***

3.
Density functional theory data (PBE-GGA) for crystalline Sr2LiHg4 at its relaxed geometry.

Total moment: 0.0 μB/f.u.
Space group: No. 139
Crystal system: tetragonal
D(E_F): 3.50 states/eV/f.u.
Energy: -0.0945 Ry/atom
ΔE_f: -0.36 eV/atom

a b c (Å): 9.1001 9.1001 9.1001
angles (deg): 147.96 147.96 45.94
With the nearest neighbours (Å) after each atom.
Fractional positions:
Sr (0.1402, 0.1402, 0.0000)  9 Hg 3.31-3.57
Sr (0.8598, 0.8598, 0.0000)  9 Hg 3.31-3.57
Li (0.5000, 0.5000, 0.0000)  6 Hg 2.51-2.72
Hg (0.0000, 0.5000, 0.5000)  2 Li 2.51
Hg (0.3375, 0.3375, 0.0000)  1 Li 2.72
Hg (0.5000, 0.0000, 0.5000)  2 Li 2.51
Hg (0.6625, 0.6625, 0.0000)  1 Li 2.72

***

4.
Density functional theory data (PBE-GGA) for crystalline Ca2DyUO6 at its relaxed geometry.

Total moment: 1.0 μB/f.u.
Space group: No. 146
Crystal system: trigonal
Energy: -0.6066 Ry/atom
E_form (uncorrected): -3.29 eV per atom

a b c (Å): 6.0664 6.0664 6.0664
angles (deg): 57.77 57.77 57.77
With the nearest neighbours (Å) after each atom.
Fractional positions:
Ca (0.0000, 0.0000, 0.0000)  6 O 2.34-2.49
Ca (0.4961, 0.4961, 0.4961)  6 O 2.35-2.52
Dy (0.2185, 0.2185, 0.2185)  6 O 2.25-2.34
U (0.7137, 0.7137, 0.7137)  6 O 2.16-2.18
O (0.0738, 0.4367, 0.8402)  1 U 2.16, 1 Dy 2.34, 1 Ca 2.35
O (0.3519, 0.9209, 0.5907)  1 U 2.18, 1 Dy 2.25, 1 Ca 2.34
O (0.4367, 0.8402, 0.0738)  1 U 2.16, 1 Dy 2.34, 1 Ca 2.35
O (0.5907, 0.3519, 0.9209)  1 U 2.18, 1 Dy 2.25, 1 Ca 2.34
O (0.8402, 0.0738, 0.4367)  1 U 2.16, 1 Dy 2.34, 1 Ca 2.35
O (0.9209, 0.5907, 0.3519)  1 U 2.18, 1 Dy 2.25, 1 Ca 2.34

***

5.
Density functional theory data (PBE-GGA) for crystalline LaPuMn at its relaxed geometry.

Total moment: 0.0 μB/f.u.
Space group: No. 12
Crystal system: monoclinic
D(E_F): 4.85 states/eV/f.u.
Energy: -0.6741 Ry/atom
ΔE_f: 0.31 eV/atom
Distance to the lowest polymorph of the same formula: 143 meV/atom

a b c (Å): 5.9312 5.9312 7.1078
angles (deg): 120.49 120.49 38.40
With the nearest neighbours (Å) after each atom.
Fractional positions:
La (0.0873, 0.0873, 0.2980)  1 Pu 3.03, 5 Mn 3.10-3.19
La (0.9127, 0.9127, 0.7020)  1 Pu 3.03, 5 Mn 3.10-3.19
Pu (0.2281, 0.2281, 0.8934)  2 Pu 2.35, 2 Mn 2.44
Pu (0.7719, 0.7719, 0.1066)  2 Pu 2.35, 2 Mn 2.44
Mn (0.3859, 0.3859, 0.3423)  1 Mn 2.32, 2 Pu 2.44
Mn (0.6141, 0.6141, 0.6577)  1 Mn 2.32, 2 Pu 2.44

***

6.
Density functional theory data (PBE-GGA) for crystalline GdTl2Ge at its relaxed geometry.

Total moment: 6.9 μB/f.u.
Space group: No. 123
Crystal system: tetragonal
D(E_F): 2.74 states/eV/f.u.
Energy: -0.4509 Ry/atom
ΔE_f: -0.28 eV/atom
Distance to the lowest polymorph of the same formula: 0 meV/atom

a b c (Å): 4.4788 4.4788 5.0427
angles (deg): 90.00 90.00 90.00
With the nearest neighbours (Å) after each atom.
Fractional positions:
Gd (0.0000, 0.0000, 0.0000)  4 Ge 3.17, 8 Tl 3.37
Tl (0.0000, 0.5000, 0.5000)  4 Tl 3.17, 4 Ge 3.37, 4 Gd 3.37
Tl (0.5000, 0.0000, 0.5000)  4 Tl 3.17, 4 Ge 3.37, 4 Gd 3.37
Ge (0.5000, 0.5000, 0.0000)  4 Gd 3.17, 8 Tl 3.37

***

7.
Density functional theory data (PBE-GGA) for crystalline LiMgPb3 at its relaxed geometry.

Total moment: 0.0 μB/f.u.
Space group: No. 6
Crystal system: monoclinic
D(E_F): 2.12 states/eV/f.u.
Energy: -0.2236 Ry/atom
ΔE_f: -0.12 eV/atom
Distance to the lowest polymorph of the same formula: 0 meV/atom

a b c (Å): 4.9094 4.9720 10.9544
angles (deg): 90.00 101.39 90.00
With the nearest neighbours (Å) after each atom.
Fractional positions:
Li (0.0000, 0.0000, 0.0000)  8 Pb 3.15-3.26, 4 Mg 3.48-3.50
Li (0.3382, 0.5000, 0.6311)  8 Pb 3.14-3.26, 4 Mg 3.49
Mg (0.5033, 0.5000, 0.0009)  8 Pb 3.17-3.24, 4 Li 3.48-3.50
Mg (0.8372, 0.0000, 0.6293)  8 Pb 3.17-3.23, 4 Li 3.49
Pb (0.0869, 0.5000, 0.1967)  2 Mg 3.22-3.24, 2 Li 3.26, 7 Pb 3.40-3.58
Pb (0.2526, 0.0000, 0.4343)  2 Mg 3.22-3.23, 2 Li 3.26, 7 Pb 3.39-3.58
Pb (0.4190, 0.0000, 0.8166)  4 Li 3.15-3.19, 4 Mg 3.17-3.18, 4 Pb 3.49-3.50
Pb (0.5845, 0.0000, 0.1903)  2 Li 3.19-3.20, 2 Mg 3.21, 5 Pb 3.39-3.50
Pb (0.7540, 0.5000, 0.4404)  2 Li 3.20, 2 Mg 3.21, 5 Pb 3.40-3.50
Pb (0.9204, 0.5000, 0.8141)  4 Li 3.14-3.19, 4 Mg 3.17-3.18, 4 Pb 3.49-3.50

***

8.
Density functional theory data (PBE-GGA) for crystalline K2Cd3InAu4 at its relaxed geometry.

Total moment: 0.0 μB/f.u.
Space group: No. 115
Crystal system: tetragonal
D(E_F): 4.61 states/eV/f.u.
Energy: -0.1711 Ry/atom
ΔE_f: -0.25 eV/atom

a b c (Å): 4.8599 4.8599 11.3914
angles (deg): 90.00 90.00 90.00
With the nearest neighbours (Å) after each atom.
Fractional positions:
K (0.0000, 0.5000, 0.2378)  8 Au 3.64-3.76, 6 Cd 3.66-3.85, 2 In 3.85
K (0.5000, 0.0000, 0.7622)  8 Au 3.64-3.76, 6 Cd 3.66-3.85, 2 In 3.85
Cd (0.0000, 0.5000, 0.8723)  5 Au 2.77-2.83
Cd (0.5000, 0.0000, 0.1277)  5 Au 2.77-2.83
Cd (0.5000, 0.5000, 0.5000)  4 Au 2.84
In (0.0000, 0.0000, 0.5000)  4 Au 2.84
Au (0.0000, 0.0000, 0.0000)  4 Cd 2.83
Au (0.0000, 0.5000, 0.6290)  3 Cd 2.77-2.84, 2 In 2.84
Au (0.5000, 0.0000, 0.3710)  3 Cd 2.77-2.84, 2 In 2.84
Au (0.5000, 0.5000, 0.0000)  4 Cd 2.83

***

9.
Density functional theory data (PBE-GGA) for crystalline Ca2Zn3HgGe4 at its relaxed geometry.

Total moment: 0.0 μB/f.u.
Space group: No. 115
Crystal system: tetragonal
D(E_F): 2.13 states/eV/f.u.
Energy: -0.2151 Ry/atom
ΔE_f: -0.27 eV/atom

a b c (Å): 4.3636 4.3636 10.9361
angles (deg): 90.00 90.00 90.00
With the nearest neighbours (Å) after each atom.
Fractional positions:
Ca (0.0000, 0.5000, 0.2462)  8 Ge 3.30-3.47, 6 Zn 3.34-3.53, 2 Hg 3.53
Ca (0.5000, 0.0000, 0.7538)  8 Ge 3.30-3.47, 6 Zn 3.34-3.53, 2 Hg 3.53
Zn (0.0000, 0.5000, 0.8701)  5 Ge 2.44-2.60
Zn (0.5000, 0.0000, 0.1299)  5 Ge 2.44-2.60
Zn (0.5000, 0.5000, 0.5000)  4 Ge 2.71
Hg (0.0000, 0.0000, 0.5000)  4 Ge 2.71
Ge (0.0000, 0.0000, 0.0000)  4 Zn 2.60
Ge (0.0000, 0.5000, 0.6466)  3 Zn 2.44-2.71, 2 Hg 2.71
Ge (0.5000, 0.0000, 0.3534)  3 Zn 2.44-2.71, 2 Hg 2.71
Ge (0.5000, 0.5000, 0.0000)  4 Zn 2.60

***

10.
Density functional theory data (PBE-GGA) for crystalline Fe3Co4 at its relaxed geometry.

Total moment: 15.0 μB/f.u.
Space group: No. 8
Crystal system: monoclinic
D(E_F): 6.38 states/eV/f.u.
Energy: -0.5653 Ry/atom
ΔE_f: 0.00 eV/atom
Distance to the lowest polymorph of the same formula: 34 meV/atom

a b c (Å): 4.7024 4.7024 4.7098
angles (deg): 95.17 95.17 50.39
With the nearest neighbours (Å) after each atom.
Fractional positions:
Fe (0.0000, 0.0000, 0.0000)  5 Co 2.42-2.47, 3 Fe 2.46-2.48
Fe (0.5712, 0.5712, 0.2881)  5 Co 2.44-2.47, 3 Fe 2.45-2.46
Fe (0.8555, 0.8555, 0.4310)  6 Co 2.43-2.45, 2 Fe 2.45-2.48
Co (0.1382, 0.1382, 0.5756)  4 Fe 2.42-2.45, 4 Co 2.46-2.48
Co (0.2870, 0.2870, 0.1491)  4 Fe 2.44-2.47, 4 Co 2.46-2.48
Co (0.4264, 0.4264, 0.7160)  5 Fe 2.45-2.46, 3 Co 2.46-2.49
Co (0.7157, 0.7157, 0.8582)  3 Fe 2.44-2.47, 5 Co 2.46-2.49

***

11.
Density functional theory data (PBE-GGA) for crystalline DyTmScAl at its relaxed geometry.

Total moment: 0.0 μB/f.u.
Space group: No. 47
Crystal system: orthorhombic
D(E_F): 4.95 states/eV/f.u.
Energy: -0.3665 Ry/atom
ΔE_f: -0.20 eV/atom
Distance to the lowest polymorph of the same formula: 0 meV/atom

a b c (Å): 4.5621 4.6600 4.6624
angles (deg): 90.00 90.00 90.00
With the nearest neighbours (Å) after each atom.
Fractional positions:
Dy (0.0000, 0.0000, 0.0000)  4 Al 3.26, 4 Sc 3.26, 4 Tm 3.30
Tm (0.0000, 0.5000, 0.5000)  4 Sc 3.26, 4 Al 3.26, 4 Dy 3.30
Sc (0.5000, 0.0000, 0.5000)  4 Tm 3.26, 4 Dy 3.26, 4 Al 3.30
Al (0.5000, 0.5000, 0.0000)  4 Dy 3.26, 4 Tm 3.26, 4 Sc 3.30

***

12.
Density functional theory data (PBE-GGA) for crystalline Ho2Th2Sc at its relaxed geometry.

Total moment: 0.0 μB/f.u.
Space group: No. 2
Crystal system: triclinic
D(E_F): 7.53 states/eV/f.u.
Energy: -0.4420 Ry/atom
ΔE_f: 0.05 eV/atom
Distance to the lowest polymorph of the same formula: 0 meV/atom

a b c (Å): 6.0214 7.0105 7.8214
angles (deg): 103.04 97.31 106.15
With the nearest neighbours (Å) after each atom.
Fractional positions:
Ho (0.1105, 0.4497, 0.1972)  3 Sc 3.39-3.57, 6 Th 3.45-3.56, 3 Ho 3.50-3.58
Ho (0.3043, 0.8516, 0.6094)  7 Th 3.43-3.57, 2 Sc 3.44, 3 Ho 3.53-3.58
Ho (0.6957, 0.1484, 0.3906)  7 Th 3.43-3.57, 2 Sc 3.44, 3 Ho 3.53-3.58
Ho (0.8895, 0.5503, 0.8028)  3 Sc 3.39-3.57, 6 Th 3.45-3.56, 3 Ho 3.50-3.58
Th (0.1038, 0.9563, 0.2012)  6 Ho 3.43-3.57, 3 Sc 3.47-3.49, 3 Th 3.48-3.50
Th (0.2963, 0.3472, 0.6063)  2 Sc 3.43-3.50, 7 Ho 3.45-3.55, 3 Th 3.48-3.62
Th (0.7037, 0.6528, 0.3937)  2 Sc 3.43-3.50, 7 Ho 3.45-3.55, 3 Th 3.48-3.62
Th (0.8962, 0.0437, 0.7988)  6 Ho 3.43-3.57, 3 Sc 3.47-3.49, 3 Th 3.48-3.50
Sc (0.4958, 0.2492, 0.9985)  5 Ho 3.39-3.57, 5 Th 3.43-3.50, 2 Sc 3.50-3.51
Sc (0.5042, 0.7508, 0.0015)  5 Ho 3.39-3.57, 5 Th 3.43-3.50, 2 Sc 3.50-3.51